DFT (PBE) results for an optimized crystal structure of LaP2NCl.

Computed properties:
* energy: -26.955 eV per cell
* spin magnetization: 0.00 μB/f.u.
* formation energy from raw total energies: -207 meV/atom
* symmetry: P4/mmm, No. 123

POSCAR file:
```
LaP2NCl
1.0
3.981 0.000 0.000
0.000 3.981 0.000
0.000 0.000 5.658
La P N Cl
1 2 1 1
direct
0.000 0.000 0.000 La
0.000 0.500 0.500 P
0.500 0.000 0.500 P
0.500 0.500 0.500 N
0.500 0.500 0.000 Cl
```

---

DFT (PBE) results for an optimized crystal structure of LaP2NCl.

Computed properties:
* energy: -20.838 eV per cell
* spin magnetization: 1.28 μB/f.u.
* formation energy from raw total energies: 1016 meV/atom
* symmetry: P4/mmm, No. 123

POSCAR file:
```
LaP2NCl
1.0
4.424 0.000 0.000
0.000 4.424 0.000
0.000 0.000 5.578
La P N Cl
1 2 1 1
direct
0.000 0.000 0.000 La
0.000 0.500 0.500 P
0.500 0.000 0.500 P
0.500 0.500 0.000 N
0.000 0.000 0.500 Cl
```

---

DFT (PBE) results for an optimized crystal structure of La8Rh3NCl3.

Computed properties:
* energy: -92.086 eV per cell
* spin magnetization: 0.00 μB/f.u.
* formation energy from raw total energies: -1116 meV/atom
* symmetry: C2/m, No. 12

POSCAR file:
```
La8Rh3NCl3
1.0
7.123 -4.084 0.000
7.123 4.084 0.000
-4.724 0.000 7.472
La Rh N Cl
8 3 1 3
direct
0.221 0.759 0.699 La
0.223 0.223 0.699 La
0.241 0.779 0.301 La
0.263 0.263 0.289 La
0.737 0.737 0.711 La
0.759 0.221 0.699 La
0.777 0.777 0.301 La
0.779 0.241 0.301 La
0.000 0.500 0.500 Rh
0.500 0.000 0.500 Rh
0.500 0.500 0.500 Rh
0.000 0.000 0.500 N
0.000 0.000 0.000 Cl
0.000 0.500 0.000 Cl
0.500 0.000 0.000 Cl
```

---

DFT (PBE) results for an optimized crystal structure of La6Ru2NCl3.

Computed properties:
* energy: -76.235 eV per cell
* spin magnetization: 0.00 μB/f.u.
* formation energy from raw total energies: -1188 meV/atom
* symmetry: C2/m, No. 12

POSCAR file:
```
La6Ru2NCl3
1.0
3.474 -6.023 0.000
3.474 6.023 0.000
-2.321 0.000 7.579
La Ru N Cl
6 2 1 3
direct
0.066 0.380 0.197 La
0.246 0.246 0.802 La
0.380 0.066 0.197 La
0.620 0.934 0.803 La
0.754 0.754 0.198 La
0.934 0.620 0.803 La
0.334 0.666 0.000 Ru
0.666 0.334 0.000 Ru
0.000 0.000 0.000 N
0.171 0.829 0.500 Cl
0.500 0.500 0.500 Cl
0.829 0.171 0.500 Cl
```